Below is an optimized crystal structure of CaCdInSn2, with properties calculated at the PBE-GGA level.

The structure in POSCAR format:
```
CaCdInSn2
1.0
5.836 0.000 0.000
0.000 5.836 0.000
0.000 0.000 5.804
Ca Cd In Sn
1 1 1 2
Direct
0.000 0.000 0.000
0.000 0.000 0.500
0.500 0.500 0.500
0.000 0.500 0.000
0.500 0.000 0.000
```

Output
**Uncorrected energy**: -10.98 eV/cell

Below is an optimized crystal structure of Sr2CaCd2In2, with properties calculated at the PBE-GGA level.

The structure in POSCAR format:
```
Sr2CaCd2In2
1.0
2.524 1.457 10.341
-2.524 1.457 10.341
0.000 -2.914 10.341
Sr Ca Cd In
2 1 2 2
Direct
0.122 0.122 0.122
0.878 0.878 0.878
0.000 0.000 0.000
0.387 0.387 0.387
0.613 0.613 0.613
0.268 0.268 0.268
0.732 0.732 0.732
```

Output
**Uncorrected energy**: -15.00 eV/cell

Below is an optimized crystal structure of Ca2TbCd2In2, with properties calculated at the PBE-GGA level.

The structure in POSCAR format:
```
Ca2TbCd2In2
1.0
2.486 1.435 9.337
-2.486 1.435 9.337
0.000 -2.870 9.337
Ca Tb Cd In
2 1 2 2
Direct
0.127 0.127 0.127
0.873 0.873 0.873
0.000 0.000 0.000
0.389 0.389 0.389
0.611 0.611 0.611
0.261 0.261 0.261
0.739 0.739 0.739
```

Output
**Uncorrected energy**: -18.24 eV/cell

Below is an optimized crystal structure of CaThCdIn, with properties calculated at the PBE-GGA level.

The structure in POSCAR format:
```
CaThCdIn
1.0
0.000 3.852 3.852
3.852 0.000 3.852
3.852 3.852 0.000
Ca Th Cd In
1 1 1 1
Direct
0.000 0.000 0.000
0.500 0.500 0.500
0.250 0.250 0.250
0.750 0.750 0.750
```

Output
**Uncorrected energy**: -14.04 eV/cell

Below is an optimized crystal structure of CaTlCd2In, with properties calculated at the PBE-GGA level.

The structure in POSCAR format:
```
CaTlCd2In
1.0
1.785 -9.977 0.000
1.785 9.977 0.000
0.000 0.000 8.073
Ca Tl Cd In
2 2 4 2
Direct
0.096 0.904 0.750
0.904 0.096 0.250
0.258 0.742 0.250
0.742 0.258 0.750
0.352 0.648 0.568
0.352 0.648 0.932
0.648 0.352 0.068
0.648 0.352 0.432
0.500 0.500 0.000
0.500 0.500 0.500
```

Output
**Uncorrected energy**: -18.87 eV/cell

Below is an optimized crystal structure of Ca4Tl2CdIn, with properties calculated at the PBE-GGA level.

The structure in POSCAR format:
```
Ca4Tl2CdIn
1.0
2.735 1.579 8.930
-2.735 1.579 8.930
0.000 -3.158 8.930
Ca Tl Cd In
4 2 1 1
Direct
0.125 0.125 0.125
0.375 0.375 0.375
0.625 0.625 0.625
0.875 0.875 0.875
0.249 0.249 0.249
0.751 0.751 0.751
0.500 0.500 0.500
0.000 0.000 0.000
```

Output
**Uncorrected energy**: -19.87 eV/cell